Compound: BMoAsIr2
Source: Alexandria via LeMat-Bulk
Functional: PBE
Structure: relaxed

**Calculated volume**: 75 Å³/cell
**Uncorrected energy**: -37.28 eV/f.u.
**D(E_F)**: 0.429 states/eV/atom
**Calculated density**: 12.553 g/cm3
**DFT formation energy**: 0.52 eV per atom

abc: 4.021 4.021 4.632
angles: 90.00 90.00 90.00
Space group P4/mmm (No. 123)
Asymmetric unit:
B 0.000 0.000 0.000 x1
Mo 0.500 0.500 0.500 x1
As 0.000 0.000 0.500 x1
Ir 0.000 0.500 0.000 x2



Compound: BAsIr2Pd
Source: Alexandria via LeMat-Bulk
Functional: PBE
Structure: relaxed

**Calculated volume**: 75 Å³/cell
**Uncorrected energy**: -32.15 eV/f.u.
**D(E_F)**: 0.602 states/eV/atom
**Calculated density**: 12.840 g/cm3
**DFT formation energy**: 0.42 eV per atom

abc: 4.080 4.080 4.480
angles: 90.00 90.00 90.00
Space group P4/mmm (No. 123)
Asymmetric unit:
B 0.000 0.000 0.000 x1
As 0.000 0.000 0.500 x1
Ir 0.000 0.500 0.000 x2
Pd 0.500 0.500 0.500 x1



Compound: BAs2IrPt
Source: Alexandria via LeMat-Bulk
Functional: PBE
Structure: relaxed

**Calculated volume**: 114 Å³/cell
**Uncorrected energy**: -21.47 eV/f.u.
**D(E_F)**: 1.051 states/eV/atom
**Calculated density**: 7.953 g/cm3
**DFT formation energy**: 1.88 eV per atom

abc: 4.742 4.742 5.088
angles: 90.00 90.00 90.00
Space group P4/mmm (No. 123)
Asymmetric unit:
B 0.000 0.000 0.000 x1
As 0.000 0.500 0.500 x2
Ir 0.500 0.500 0.000 x1
Pt 0.500 0.500 0.500 x1